## PIr (PBE)

Data for PIr after structural relaxation.

Cell lengths 7.1352, 7.1352, 7.1352 Å; angles 90.00, 90.00, 90.00 degrees
Space group I-43m (No. 217)
Asymmetric unit:
P (0.1803, 0.1803, 0.1803) (multiplicity 8)
Ir (0.1417, 0.1417, 0.8583) (multiplicity 8)

## Properties
* formation enthalpy at 0 K: -0.30 eV/atom
* crystal system: cubic

---

## P2Ir (PBE)

Data for P2Ir after structural relaxation.

Cell lengths 2.9845, 2.9845, 20.2040 Å; angles 90.00, 90.00, 90.00 degrees
Space group I4_1/amd (No. 141, origin choice 2)
Asymmetric unit:
P (0.0000, 0.2500, 0.3024) (multiplicity 8)
Ir (0.0000, 0.2500, 0.8750) (multiplicity 4)

## Properties
* formation enthalpy at 0 K: 0.18 eV/atom
* crystal system: tetragonal

---

## PIr (PBE)

Data for PIr after structural relaxation.

Cell lengths 6.1533, 6.1533, 6.1533 Å; angles 90.00, 90.00, 90.00 degrees
Space group Fd-3m (No. 227, origin choice 2)
Asymmetric unit:
P (0.1250, 0.1250, 0.1250) (multiplicity 8)
Ir (0.1250, 0.1250, 0.6250) (multiplicity 8)

## Properties
* formation enthalpy at 0 K: 0.63 eV/atom
* crystal system: cubic

---

## P2Ir (PBE)

Data for P2Ir after structural relaxation.

Cell lengths 3.0987, 9.0000, 3.6273 Å; angles 90.00, 90.00, 90.00 degrees
Space group Cmmm (No. 65)
Asymmetric unit:
P (0.0000, 0.1645, 0.0000) (multiplicity 4)
Ir (0.0000, 0.0000, 0.5000) (multiplicity 2)

## Properties
* formation enthalpy at 0 K: -0.21 eV/atom
* crystal system: orthorhombic

---

## P2Ir (PBE)

Data for P2Ir after structural relaxation.

Cell lengths 12.1980, 2.7875, 7.5173 Å; angles 90.00, 116.71, 90.00 degrees
Space group C2/m (No. 12)
Asymmetric unit:
P (0.0892, 0.0000, 0.1444) (multiplicity 4)
P (0.1365, 0.0000, 0.6635) (multiplicity 4)
Ir (0.0369, 0.5000, 0.3558) (multiplicity 4)

## Properties
* formation enthalpy at 0 K: 0.02 eV/atom
* crystal system: monoclinic

---

## PIr (PBE)

Data for PIr after structural relaxation.

Cell lengths 2.7709, 4.9567, 4.1678 Å; angles 90.00, 90.00, 90.00 degrees
Space group Cmmm (No. 65)
Asymmetric unit:
P (0.0000, 0.0000, 0.0000) (multiplicity 2)
Ir (0.0000, 0.5000, 0.5000) (multiplicity 2)

## Properties
* formation enthalpy at 0 K: 0.35 eV/atom
* crystal system: orthorhombic

---

## PIr (PBE)

Data for PIr after structural relaxation.

Cell lengths 2.8941, 2.8941, 7.3258 Å; angles 90.00, 90.00, 90.00 degrees
Space group I-4m2 (No. 119)
Asymmetric unit:
P (0.0000, 0.0000, 0.0000) (multiplicity 2)
Ir (0.0000, 0.5000, 0.7500) (multiplicity 2)

## Properties
* formation enthalpy at 0 K: -0.35 eV/atom
* crystal system: tetragonal

---

## P2Ir (PBE)

Data for P2Ir after structural relaxation.

Cell lengths 3.4880, 7.7469, 7.5844 Å; angles 90.00, 90.00, 90.00 degrees
Space group Cmc2_1 (No. 36)
Asymmetric unit:
P (0.0000, 0.0217, 0.0000) (multiplicity 4)
P (0.0000, 0.1981, 0.2197) (multiplicity 4)
Ir (0.0000, 0.3282, 0.9311) (multiplicity 4)

## Properties
* formation enthalpy at 0 K: -0.25 eV/atom
* crystal system: orthorhombic

---

Which formula does entry 1 have? PIr

---

Which formula does entry 7 have? PIr

---

Which value of formation enthalpy at 0 K does entry 3 give? 0.63 eV/atom